# CrH20S2N2O14 GGA+U optimized geometry
# Calculated total energy in eV/atom: -5.40
# DOS(E_F) in states/eV per cell: 0.00
# M_tot in μB per formula unit: 4.00
data_CrH20S2N2O14
_symmetry_space_group_name_H-M 'P 1 21/c 1'
_symmetry_Int_Tables_number 14
_symmetry_space_group_name_Hall '-P 2ybc'
_cell_length_a 6.223
_cell_length_b 13.062
_cell_length_c 9.560
_cell_angle_alpha 90.00
_cell_angle_beta 107.05
_cell_angle_gamma 90.00
loop_
_atom_site_label
_atom_site_fract_x
_atom_site_fract_y
_atom_site_fract_z
Cr1 0.000 0.000 0.000
H1 0.025 0.193 0.841
H2 0.053 0.613 0.786
H3 0.108 0.123 0.243
H4 0.231 0.150 0.545
H5 0.321 0.645 0.540
H6 0.332 0.573 0.406
H7 0.340 0.092 0.210
H8 0.352 0.062 0.674
H9 0.422 0.187 0.706
H10 0.491 0.621 0.919
S1 0.252 0.648 0.112
N1 0.377 0.131 0.626
O1 0.020 0.671 0.122
O2 0.045 0.121 0.815
O3 0.176 0.103 0.165
O4 0.238 0.598 0.970
O5 0.298 0.574 0.501
O6 0.368 0.575 0.233
O7 0.388 0.743 0.130